# 1
Computed, not measured: an optimized crystal structure of ThPdPt6 at the PBE level of DFT.

The structure in POSCAR format:
```
ThPdPt6
1.0
-0.869 -2.590 3.081
1.396 -3.150 -2.254
7.504 1.129 3.067
Pt Th Pd
6 1 1
direct
0.500 0.000 0.737
0.000 0.500 0.737
0.500 0.500 0.500
0.500 0.500 0.000
0.500 0.000 0.263
0.000 0.500 0.263
0.000 0.000 0.000
0.000 0.000 0.500
```

Results
raw total energy = -6.6338 eV per atom
Fermi-level density of states = 1.254 states/eV per atom
formation energy from the elements = -406 kJ/mol of formula units
M_tot = 0.000 μB/atom

# 2
Computed, not measured: an optimized crystal structure of ThPdPt at the PBE level of DFT.

The structure in POSCAR format:
```
ThPdPt
1.0
-2.492 0.683 -2.769
2.176 -1.923 -2.432
-2.026 -3.158 3.634
Pd Pt Th
1 1 1
direct
0.282 0.282 0.565
0.957 0.957 0.913
0.611 0.611 0.222
```

Results
raw total energy = -7.1817 eV per atom
Fermi-level density of states = 0.435 states/eV per atom
energy relative to the lowest polymorph listed for this composition = 155 meV/atom
formation energy from the elements = -279 kJ/mol of formula units
M_tot = 0.000 μB/atom

# 3
Computed, not measured: an optimized crystal structure of Th2Pd3Pt2 at the PBE level of DFT.

The structure in POSCAR format:
```
Th2Pd3Pt2
1.0
4.168 0.000 0.000
-2.084 4.010 -2.662
0.000 -0.744 9.389
Pd Th Pt
3 2 2
direct
0.678 0.356 0.145
0.000 0.000 0.500
0.322 0.644 0.855
0.437 0.875 0.236
0.563 0.125 0.764
0.229 0.459 0.385
0.771 0.541 0.615
```

Results
raw total energy = -6.8984 eV per atom
Fermi-level density of states = 0.587 states/eV per atom
formation energy from the elements = -559 kJ/mol of formula units
M_tot = 0.000 μB/atom

# 4
Computed, not measured: an optimized crystal structure of Th3Pd3Pt5 at the PBE level of DFT.

The structure in POSCAR format:
```
Th3Pd3Pt5
1.0
-0.258 0.165 3.806
5.980 -6.219 0.675
2.403 8.311 -0.196
Pt Pd Th
5 3 3
direct
0.500 0.667 0.333
0.500 0.000 0.353
0.500 0.333 0.667
0.500 0.647 0.647
0.500 0.353 0.000
0.500 0.821 0.000
0.500 0.000 0.821
0.500 0.179 0.179
0.000 0.588 0.000
0.000 0.412 0.412
0.000 0.000 0.588
```

Results
raw total energy = -6.9493 eV per atom
Fermi-level density of states = 0.478 states/eV per atom
formation energy from the elements = -811 kJ/mol of formula units
M_tot = 0.000 μB/atom

# 5
Computed, not measured: an optimized crystal structure of Th2PdPt at the PBE level of DFT.

The structure in POSCAR format:
```
Th2PdPt
1.0
-1.492 -0.098 -3.854
0.143 -3.507 -2.183
-6.926 -3.056 0.543
Pt Th Pd
1 2 1
direct
0.667 0.667 0.000
0.254 0.254 0.238
0.079 0.079 0.762
0.500 0.500 0.500
```

Results
raw total energy = -7.3840 eV per atom
Fermi-level density of states = 0.916 states/eV per atom
formation energy from the elements = -334 kJ/mol of formula units
M_tot = 0.000 μB/atom

# 6
Computed, not measured: an optimized crystal structure of Th2PdPt at the PBE level of DFT.

The structure in POSCAR format:
```
Th2PdPt
1.0
4.503 0.000 0.000
0.000 5.953 0.149
0.000 -2.777 7.331
Th Pd Pt
4 2 2
direct
0.750 0.226 0.433
0.750 0.228 0.930
0.250 0.774 0.567
0.250 0.772 0.070
0.250 0.318 0.204
0.750 0.682 0.796
0.750 0.689 0.297
0.250 0.311 0.703
```

Results
raw total energy = -7.5066 eV per atom
Fermi-level density of states = 0.795 states/eV per atom
formation energy from the elements = -381 kJ/mol of formula units
M_tot = 0.000 μB/atom

# 7
Computed, not measured: an optimized crystal structure of ThPdPt at the PBE level of DFT.

The structure in POSCAR format:
```
ThPdPt
1.0
-2.193 -1.937 -2.126
2.672 -3.665 0.582
-3.472 0.778 2.872
Th Pt Pd
1 1 1
direct
0.668 0.667 0.333
0.204 0.333 0.667
0.128 0.000 0.000
```

Results
raw total energy = -7.1150 eV per atom
Fermi-level density of states = 0.476 states/eV per atom
energy relative to the lowest polymorph listed for this composition = 221 meV/atom
formation energy from the elements = -260 kJ/mol of formula units
M_tot = 0.000 μB/atom

# 8
Computed, not measured: an optimized crystal structure of Th2Pd2Pt at the PBE level of DFT.

The structure in POSCAR format:
```
Th2Pd2Pt
1.0
-3.798 -1.543 -1.831
3.361 1.415 -2.619
4.022 -5.737 2.019
Pd Th Pt
2 2 1
direct
0.300 0.149 0.449
0.700 0.851 0.551
0.180 0.591 0.771
0.820 0.409 0.229
0.000 0.000 0.000
```

Results
raw total energy = -7.1501 eV per atom
Fermi-level density of states = 0.659 states/eV per atom
formation energy from the elements = -433 kJ/mol of formula units
M_tot = 0.000 μB/atom

# 9
Computed, not measured: an optimized crystal structure of ThPd3Pt at the PBE level of DFT.

The structure in POSCAR format:
```
ThPd3Pt
1.0
-0.467 -5.014 -1.970
8.047 -0.634 -0.788
-0.962 -1.521 4.098
Pd Pt Th
6 2 2
direct
0.500 0.000 0.000
0.799 0.321 0.160
0.274 0.883 0.441
0.201 0.679 0.840
0.726 0.117 0.559
0.000 0.000 0.000
0.331 0.504 0.252
0.669 0.496 0.748
0.794 0.729 0.364
0.206 0.271 0.636
```

Results
raw total energy = -6.5790 eV per atom
Fermi-level density of states = 0.393 states/eV per atom
energy relative to the lowest polymorph listed for this composition = 0 meV/atom
formation energy from the elements = -372 kJ/mol of formula units
M_tot = 0.000 μB/atom

# 10
Computed, not measured: an optimized crystal structure of Th2PdPt at the PBE level of DFT.

The structure in POSCAR format:
```
Th2PdPt
1.0
3.645 0.000 0.000
0.000 5.123 0.000
0.000 0.000 5.123
Pd Pt Th
1 1 2
direct
0.500 0.500 0.500
0.500 0.000 0.000
0.000 0.000 0.500
0.000 0.500 0.000
```

Results
raw total energy = -7.3470 eV per atom
Fermi-level density of states = 1.008 states/eV per atom
formation energy from the elements = -320 kJ/mol of formula units
M_tot = 0.000 μB/atom

# 11
Computed, not measured: an optimized crystal structure of Th2Pd9Pt at the PBE level of DFT.

The structure in POSCAR format:
```
Th2Pd9Pt
1.0
4.180 0.000 0.000
0.000 4.180 0.000
0.000 0.000 12.137
Pd Th Pt
9 2 1
direct
0.000 0.500 0.842
0.500 0.500 0.000
0.500 0.000 0.842
0.500 0.500 0.330
0.500 0.500 0.670
0.500 0.000 0.158
0.000 0.500 0.500
0.500 0.000 0.500
0.000 0.500 0.158
0.000 0.000 0.679
0.000 0.000 0.321
0.000 0.000 0.000
```

Results
raw total energy = -6.2837 eV per atom
Fermi-level density of states = 0.507 states/eV per atom
formation energy from the elements = -752 kJ/mol of formula units
M_tot = 0.000 μB/atom

# 12
Computed, not measured: an optimized crystal structure of ThPdPt at the PBE level of DFT.

The structure in POSCAR format:
```
ThPdPt
1.0
-2.482 -2.003 2.727
3.381 -1.337 2.095
-0.228 5.965 4.173
Pt Pd Th
2 2 2
direct
0.250 0.250 0.725
0.750 0.750 0.275
0.250 0.750 0.000
0.750 0.250 0.000
0.750 0.750 0.687
0.250 0.250 0.313
```

Results
raw total energy = -7.3364 eV per atom
Fermi-level density of states = 0.357 states/eV per atom
energy relative to the lowest polymorph listed for this composition = 0 meV/atom
formation energy from the elements = -324 kJ/mol of formula units
M_tot = 0.000 μB/atom